Computed, not measured: a relaxed structure of Be3TcO at the PBE level of DFT. Values from VASP.

space group = Pm-3m (221)
offset from the most stable computed form = 1920 meV per atom
E_form (uncorrected) = 1566 meV per atom
M_tot = 1.15 μB per formula unit

Quantum ESPRESSO input file:
```
&SYSTEM
  ibrav = 0, nat = 5, ntyp = 3
/
ATOMIC_SPECIES
Be 9.01 Be.upf
Tc 98.00 Tc.upf
O 16.00 O.upf
ATOMIC_POSITIONS crystal
Be 0.000 0.000 0.500
Be 0.000 0.500 0.000
Be 0.500 0.000 0.000
Tc 0.000 0.000 0.000
O 0.500 0.500 0.500
CELL_PARAMETERS angstrom
4.191 0.000 0.000
0.000 4.191 0.000
0.000 0.000 4.191
```

Computed, not measured: a relaxed structure of BeTc2O at the PBE level of DFT. Values from VASP.

space group = I-42d (122)
offset from the most stable computed form = 84 meV per atom
E_form (uncorrected) = 434 meV per atom
M_tot = 0.00 μB per formula unit

Quantum ESPRESSO input file:
```
&SYSTEM
  ibrav = 0, nat = 8, ntyp = 3
/
ATOMIC_SPECIES
Be 9.01 Be.upf
Tc 98.00 Tc.upf
O 16.00 O.upf
ATOMIC_POSITIONS crystal
Be 0.000 0.000 0.000
Be 0.750 0.250 0.500
Tc 0.171 0.625 0.046
Tc 0.375 0.421 0.546
Tc 0.579 0.125 0.954
Tc 0.875 0.829 0.454
O 0.250 0.750 0.500
O 0.500 0.500 0.000
CELL_PARAMETERS angstrom
-2.253 2.253 5.348
2.253 -2.253 5.348
2.253 2.253 -5.348
```

Computed, not measured: a relaxed structure of BeTc3O at the PBE level of DFT. Values from VASP.

space group = Pm-3m (221)
offset from the most stable computed form = 0 meV per atom
E_form (uncorrected) = 173 meV per atom
M_tot = 0.00 μB per formula unit

Quantum ESPRESSO input file:
```
&SYSTEM
  ibrav = 0, nat = 5, ntyp = 3
/
ATOMIC_SPECIES
Be 9.01 Be.upf
Tc 98.00 Tc.upf
O 16.00 O.upf
ATOMIC_POSITIONS crystal
Be 0.000 0.000 0.000
Tc 0.000 0.500 0.500
Tc 0.500 0.000 0.500
Tc 0.500 0.500 0.000
O 0.500 0.500 0.500
CELL_PARAMETERS angstrom
4.002 0.000 0.000
0.000 4.002 0.000
0.000 0.000 4.002
```

Computed, not measured: a relaxed structure of BeTcO3 at the PBE level of DFT. Values from VASP.

space group = Pm-3m (221)
E_form (uncorrected) = -550 meV per atom
M_tot = 0.00 μB per formula unit

Quantum ESPRESSO input file:
```
&SYSTEM
  ibrav = 0, nat = 5, ntyp = 3
/
ATOMIC_SPECIES
Be 9.01 Be.upf
Tc 98.00 Tc.upf
O 16.00 O.upf
ATOMIC_POSITIONS crystal
Be 0.000 0.000 0.000
Tc 0.500 0.500 0.500
O 0.000 0.500 0.500
O 0.500 0.000 0.500
O 0.500 0.500 0.000
CELL_PARAMETERS angstrom
3.828 0.000 0.000
0.000 3.828 0.000
0.000 0.000 3.828
```

Computed, not measured: a relaxed structure of BeTcO4 at the PBE level of DFT. Values from VASP.

space group = C2/m (12)
E_form (uncorrected) = -1584 meV per atom
M_tot = 0.98 μB per formula unit

Quantum ESPRESSO input file:
```
&SYSTEM
  ibrav = 0, nat = 12, ntyp = 3
/
ATOMIC_SPECIES
Be 9.01 Be.upf
Tc 98.00 Tc.upf
O 16.00 O.upf
ATOMIC_POSITIONS crystal
Be 0.096 0.096 0.104
Be 0.904 0.904 0.896
Tc 0.199 0.199 0.763
Tc 0.801 0.801 0.237
O 0.068 0.068 0.897
O 0.147 0.147 0.555
O 0.258 0.258 0.189
O 0.380 0.380 0.843
O 0.620 0.620 0.157
O 0.742 0.742 0.811
O 0.853 0.853 0.445
O 0.932 0.932 0.103
CELL_PARAMETERS angstrom
5.131 -1.898 0.000
5.131 1.898 0.000
-1.551 0.000 8.064
```

Computed, not measured: a relaxed structure of BeTc2O at the PBE level of DFT. Values from VASP.

space group = Fm-3m (225)
offset from the most stable computed form = 0 meV per atom
E_form (uncorrected) = 351 meV per atom
M_tot = 0.00 μB per formula unit

Quantum ESPRESSO input file:
```
&SYSTEM
  ibrav = 0, nat = 4, ntyp = 3
/
ATOMIC_SPECIES
Be 9.01 Be.upf
Tc 98.00 Tc.upf
O 16.00 O.upf
ATOMIC_POSITIONS crystal
Be 0.000 0.000 0.000
Tc 0.250 0.250 0.250
Tc 0.750 0.750 0.750
O 0.500 0.500 0.500
CELL_PARAMETERS angstrom
0.000 2.796 2.796
2.796 0.000 2.796
2.796 2.796 0.000
```

Computed, not measured: a relaxed structure of Be3TcO at the PBE level of DFT. Values from VASP.

space group = Pm-3m (221)
offset from the most stable computed form = 0 meV per atom
E_form (uncorrected) = -354 meV per atom
M_tot = 0.00 μB per formula unit

Quantum ESPRESSO input file:
```
&SYSTEM
  ibrav = 0, nat = 5, ntyp = 3
/
ATOMIC_SPECIES
Be 9.01 Be.upf
Tc 98.00 Tc.upf
O 16.00 O.upf
ATOMIC_POSITIONS crystal
Be 0.000 0.000 0.500
Be 0.000 0.500 0.000
Be 0.500 0.000 0.000
Tc 0.500 0.500 0.500
O 0.000 0.000 0.000
CELL_PARAMETERS angstrom
3.567 0.000 0.000
0.000 3.567 0.000
0.000 0.000 3.567
```

Computed, not measured: a relaxed structure of BeTcTe2O at the PBE level of DFT. Values from VASP.

space group = P4/mmm (123)
E_form (uncorrected) = 748 meV per atom
M_tot = 0.00 μB per formula unit

Quantum ESPRESSO input file:
```
&SYSTEM
  ibrav = 0, nat = 5, ntyp = 4
/
ATOMIC_SPECIES
Be 9.01 Be.upf
Tc 98.00 Tc.upf
Te 127.60 Te.upf
O 16.00 O.upf
ATOMIC_POSITIONS crystal
Be 0.000 0.000 0.000
Tc 0.000 0.000 0.500
Te 0.000 0.500 0.500
Te 0.500 0.000 0.500
O 0.500 0.500 0.000
CELL_PARAMETERS angstrom
5.019 0.000 0.000
0.000 5.019 0.000
0.000 0.000 4.265
```

Computed, not measured: a relaxed structure of BeTlTc2O8 at the PBE level of DFT. Values from VASP.

space group = C2/m (12)
E_form (uncorrected) = -1374 meV per atom
M_tot = 0.93 μB per formula unit

Quantum ESPRESSO input file:
```
&SYSTEM
  ibrav = 0, nat = 12, ntyp = 4
/
ATOMIC_SPECIES
Be 9.01 Be.upf
Tl 204.38 Tl.upf
Tc 98.00 Tc.upf
O 16.00 O.upf
ATOMIC_POSITIONS crystal
Be 0.000 0.000 0.000
Tl 0.500 0.500 0.500
Tc 0.313 0.313 0.855
Tc 0.687 0.687 0.145
O 0.121 0.668 0.842
O 0.153 0.153 0.656
O 0.324 0.324 0.085
O 0.332 0.879 0.158
O 0.668 0.121 0.842
O 0.676 0.676 0.915
O 0.847 0.847 0.344
O 0.879 0.332 0.158
CELL_PARAMETERS angstrom
6.192 -2.614 0.000
6.192 2.614 0.000
-4.232 0.000 6.649
```

Number 1: E -18.67 eV per cell, V 14.73 Å³ per atom, theoretical density 3.18 Mg/m³. Number 2: E -55.36 eV per cell, V 13.57 Å³ per atom, theoretical density 6.76 Mg/m³. Number 3: E -38.92 eV per cell, V 12.82 Å³ per atom, theoretical density 8.26 Mg/m³. Number 4: E -31.71 eV per cell, V 11.22 Å³ per atom, theoretical density 4.59 Mg/m³. Number 5: E -86.86 eV per cell, V 13.09 Å³ per atom, theoretical density 3.62 Mg/m³. Number 6: E -28.01 eV per cell, V 10.93 Å³ per atom, theoretical density 8.39 Mg/m³. Number 7: E -28.27 eV per cell, V 9.08 Å³ per atom, theoretical density 5.16 Mg/m³. Number 8: E -21.59 eV per cell, V 21.48 Å³ per atom, theoretical density 5.85 Mg/m³. Number 9: E -82.98 eV per cell, V 17.93 Å³ per atom, theoretical density 4.15 Mg/m³.